# 1
A relaxed Ag2Au crystal. Source: the Alexandria database, functional PBE-GGA.

Summary:
The calculation puts the formation energy at -0.01 eV/f.u. Its density of states at the Fermi level is 0.239 states/eV/atom. For the final energy, the calculation gives -2.997 eV per atom. The excess energy over the best structure of this formula in the dataset is 34 meV per atom.

```
Ag2Au
1.0
4.667 0.000 0.000
-2.334 4.042 0.000
0.000 0.000 2.862
Ag Au
2 1
Direct
0.333 0.667 0.168
0.667 0.333 0.832
0.000 0.000 0.500
```



# 2
A relaxed Dy2HfZn6 crystal. Source: the Alexandria database, functional PBE-GGA.

Summary:
The calculation puts the formation energy at -2.74 eV/f.u. Its density of states at the Fermi level is 0.538 states/eV/atom. For the final energy, the calculation gives -3.283 eV per atom.

```
Dy2HfZn6
1.0
7.683 0.000 0.000
-3.842 6.654 0.000
0.000 0.000 3.331
Dy Hf Zn
2 1 6
Direct
0.333 0.667 0.000
0.667 0.333 0.000
0.000 0.000 0.000
0.000 0.327 0.500
0.000 0.673 0.500
0.327 0.000 0.500
0.327 0.327 0.500
0.673 0.000 0.500
0.673 0.673 0.500
```



# 3
A relaxed Cs3Tl2I2Br5 crystal. Source: the Alexandria database, functional PBE-GGA.

Summary:
Its formation energy from raw total energies is -1.151 eV/atom. Its density of states at the Fermi level is 0.238 states/eV/atom. For the final energy, the calculation gives -2.715 eV per atom.

```
Cs3Tl2I2Br5
1.0
-2.948 2.948 15.449
2.948 -2.948 15.449
2.948 2.948 -15.449
Cs Tl I Br
3 2 2 5
Direct
0.000 0.000 0.000
0.174 0.174 0.000
0.826 0.826 0.000
0.404 0.404 0.000
0.596 0.596 0.000
0.302 0.302 0.000
0.698 0.698 0.000
0.093 0.593 0.500
0.407 0.907 0.500
0.500 0.500 0.000
0.593 0.093 0.500
0.907 0.407 0.500
```